Material: HgMo2
Method: DFT, PBE
State: optimized geometry

abc: 5.700 5.700 7.424
angles: 72.49 72.49 27.72
Atoms (fractional coordinates):
Hg1 0.176 0.176 0.857
Hg2 0.824 0.824 0.143
Mo1 0.137 0.137 0.482
Mo2 0.863 0.863 0.518
Mo3 0.457 0.457 0.777
Mo4 0.543 0.543 0.223

Output
Energy   -6.777 eV per atom
Density of states at the Fermi level   4.8 states/eV/cell